Entry 1:
A geometry-optimized LiNd2Rh2 structure. Source: Alexandria, functional GGA-PBE.

The space group is C2/c (No. 15) and the conventional cell measures 10.296, 5.513 and 7.906 Å, with angles of 90.00, 106.42 and 90.00 degrees. The distinct sites, in fractional coordinates, are Li at (0.000, 0.131, 0.250), Nd at (0.147, 0.350, 0.650) and Rh at (0.132, 0.144, 0.010).

The calculation puts the energy relative to the lowest polymorph listed for this composition at 0.11 eV/f.u. The value obtained for the formation energy is -259 kJ/mol of formula units.


Entry 2:
A geometry-optimized LiNd3Rh structure. Source: Alexandria, functional GGA-PBE.

The space group is P2_1/m (No. 11) and the conventional cell measures 6.640, 4.856 and 8.540 Å, with angles of 90.00, 90.17 and 90.00 degrees. The distinct sites, in fractional coordinates, are Li at (0.099, 0.250, 0.251), Nd at (0.208, 0.250, 0.749), Nd at (0.308, 0.750, 0.053), Nd at (0.308, 0.750, 0.447) and Rh at (0.485, 0.750, 0.751).

The calculation puts the energy relative to the lowest polymorph listed for this composition at 0.00 eV/f.u. The value obtained for the formation energy is -105 kJ/mol of formula units.


Entry 3:
A geometry-optimized LiNd3Rh8 structure. Source: Alexandria, functional GGA-PBE.

The space group is R3m (No. 160, hexagonal axes) and the conventional cell measures 5.3519, 5.3519 and 26.3585 Å, with angles of 90.00, 90.00 and 120.00 degrees. The distinct sites, in fractional coordinates, are Li at (0.0000, 0.0000, 0.0000), Nd at (0.0000, 0.0000, 0.3650), Nd at (0.0000, 0.0000, 0.4944), Nd at (0.0000, 0.0000, 0.8782), Rh at (0.0000, 0.0000, 0.1830), Rh at (0.0000, 0.0000, 0.6829), Rh at (0.1670, 0.3340, 0.7655) and Rh at (0.1674, 0.3349, 0.2670).

The value obtained for the formation energy is -617 kJ/mol of formula units.


Entry 4:
A geometry-optimized LiNdRh structure. Source: Alexandria, functional GGA-PBE.

The space group is I4mm (No. 107) and the conventional cell measures 3.578, 3.578 and 9.442 Å, with angles of 90.00, 90.00 and 90.00 degrees. The distinct sites, in fractional coordinates, are Li at (0.000, 0.000, 0.000), Nd at (0.000, 0.000, 0.294) and Rh at (0.000, 0.000, 0.630).

The calculation puts the energy relative to the lowest polymorph listed for this composition at 0.51 eV/f.u. The value obtained for the formation energy is -80 kJ/mol of formula units.


Entry 5:
A geometry-optimized LiNd2Sb4Rh3 structure. Source: Alexandria, functional GGA-PBE.

The space group is P-4m2 (No. 115) and the conventional cell measures 4.548, 4.548 and 10.634 Å, with angles of 90.00, 90.00 and 90.00 degrees. The distinct sites, in fractional coordinates, are Li at (0.000, 0.000, 0.000), Nd at (0.000, 0.500, 0.753), Sb at (0.000, 0.000, 0.500), Sb at (0.000, 0.500, 0.133), Sb at (0.500, 0.500, 0.500), Rh at (0.000, 0.500, 0.378) and Rh at (0.500, 0.500, 0.000).

The calculation puts the formation energy (no corrections) at -788 meV per atom.


Entry 6:
A geometry-optimized LiNd2Sb3Rh4 structure. Source: Alexandria, functional GGA-PBE.

The space group is P-4m2 (No. 115) and the conventional cell measures 4.324, 4.324 and 11.027 Å, with angles of 90.00, 90.00 and 90.00 degrees. The distinct sites, in fractional coordinates, are Li at (0.000, 0.000, 0.000), Nd at (0.000, 0.500, 0.758), Sb at (0.000, 0.500, 0.364), Sb at (0.500, 0.500, 0.000), Rh at (0.000, 0.000, 0.500), Rh at (0.000, 0.500, 0.133) and Rh at (0.500, 0.500, 0.500).

The calculation puts the formation energy (no corrections) at -793 meV per atom.


Entry 7:
A geometry-optimized LiNd3Si6Rh2 structure. Source: Alexandria, functional GGA-PBE.

The space group is P-3m1 (No. 164) and the conventional cell measures 5.7729, 5.7729 and 8.2221 Å, with angles of 90.00, 90.00 and 120.00 degrees. The distinct sites, in fractional coordinates, are Li at (0.0000, 0.0000, 0.0000), Nd at (0.0000, 0.0000, 0.5000), Nd at (0.3333, 0.6667, 0.1125), Si at (0.1897, 0.3795, 0.7770) and Rh at (0.3333, 0.6667, 0.5440).

The calculation puts the formation energy (no corrections) at -410 meV per atom.


Entry 8:
A geometry-optimized LiNdSi2Rh structure. Source: Alexandria, functional GGA-PBE.

The space group is I-4m2 (No. 119) and the conventional cell measures 4.149, 4.149 and 10.086 Å, with angles of 90.00, 90.00 and 90.00 degrees. The distinct sites, in fractional coordinates, are Li at (0.000, 0.000, 0.000), Nd at (0.000, 0.500, 0.250), Si at (0.000, 0.500, 0.630) and Rh at (0.000, 0.000, 0.500).

The calculation puts the formation energy (no corrections) at -758 meV per atom.


Entry 9:
A geometry-optimized LiNdSmRh structure. Source: Alexandria, functional GGA-PBE.

The space group is F-43m (No. 216) and the conventional cell measures 7.172, 7.172 and 7.172 Å, with angles of 90.00, 90.00 and 90.00 degrees. The distinct sites, in fractional coordinates, are Li at (0.000, 0.000, 0.000), Nd at (0.250, 0.250, 0.250), Sm at (0.250, 0.250, 0.750) and Rh at (0.000, 0.000, 0.500).

The value obtained for the formation energy is -141 kJ/mol of formula units.


Entry 10:
A geometry-optimized LiNd2Sn4Rh3 structure. Source: Alexandria, functional GGA-PBE.

The space group is P-4m2 (No. 115) and the conventional cell measures 4.582, 4.582 and 10.483 Å, with angles of 90.00, 90.00 and 90.00 degrees. The distinct sites, in fractional coordinates, are Li at (0.000, 0.000, 0.000), Nd at (0.000, 0.500, 0.751), Sn at (0.000, 0.000, 0.500), Sn at (0.000, 0.500, 0.126), Sn at (0.500, 0.500, 0.500), Rh at (0.000, 0.500, 0.372) and Rh at (0.500, 0.500, 0.000).

The value obtained for the formation energy is -640 kJ/mol of formula units.


Entry 11:
A geometry-optimized LiNd2Sn3Rh4 structure. Source: Alexandria, functional GGA-PBE.

The space group is P-4m2 (No. 115) and the conventional cell measures 4.272, 4.272 and 11.462 Å, with angles of 90.00, 90.00 and 90.00 degrees. The distinct sites, in fractional coordinates, are Li at (0.000, 0.000, 0.000), Nd at (0.000, 0.500, 0.760), Sn at (0.000, 0.500, 0.369), Sn at (0.500, 0.500, 0.000), Rh at (0.000, 0.000, 0.500), Rh at (0.000, 0.500, 0.141) and Rh at (0.500, 0.500, 0.500).

The value obtained for the formation energy is -637 kJ/mol of formula units.


Entry 12:
A geometry-optimized LiNdSnRh structure. Source: Alexandria, functional GGA-PBE.

The space group is F-43m (No. 216) and the conventional cell measures 6.832, 6.832 and 6.832 Å, with angles of 90.00, 90.00 and 90.00 degrees. The distinct sites, in fractional coordinates, are Li at (0.000, 0.000, 0.000), Nd at (0.250, 0.250, 0.750), Sn at (0.250, 0.250, 0.250) and Rh at (0.000, 0.000, 0.500).

The value obtained for the formation energy is -246 kJ/mol of formula units.